YMg4Au5: relaxed, GGA-PBE.

Cell and atoms, written as CIF:
```
data_YMg4Au5
_chemical_formula_sum 'Y1 Mg4 Au5'
_cell_length_a 3.403
_cell_length_b 3.403
_cell_length_c 16.537
_cell_angle_alpha 90.00
_cell_angle_beta 90.00
_cell_angle_gamma 90.00
_symmetry_space_group_name_H-M 'P 4/m m m'
_symmetry_Int_Tables_number 123
_symmetry_space_group_name_Hall '-P 4 2'
loop_
_atom_site_label
_atom_site_fract_x
_atom_site_fract_y
_atom_site_fract_z
Y1 0.000 0.000 0.000
Mg1 0.000 0.000 0.213
Mg2 0.000 0.000 0.405
Au1 0.500 0.500 0.117
Au2 0.500 0.500 0.309
Au3 0.500 0.500 0.500
```

Summary:
M_tot, Bohr magnetons per cell: 0.0
Final energy, eV/atom: -3.5790
Formation energy from the elements, meV per atom: -656

=====

YMgAu: relaxed, GGA-PBE.

Cell and atoms, written as CIF:
```
data_YMgAu
_chemical_formula_sum 'Y4 Mg4 Au4'
_cell_length_a 6.917
_cell_length_b 6.917
_cell_length_c 6.917
_cell_angle_alpha 90.00
_cell_angle_beta 90.00
_cell_angle_gamma 90.00
_symmetry_space_group_name_H-M 'F -4 3 m'
_symmetry_Int_Tables_number 216
_symmetry_space_group_name_Hall 'F -4 2 3'
loop_
_atom_site_label
_atom_site_fract_x
_atom_site_fract_y
_atom_site_fract_z
Y1 0.000 0.000 0.000
Mg1 0.250 0.250 0.750
Au1 0.250 0.250 0.250
```

Summary:
M_tot, Bohr magnetons per cell: 0.0
Final energy, eV/atom: -3.7667
Formation energy from the elements, meV per atom: 12

=====

YMg2Au2: relaxed, GGA-PBE.

Cell and atoms, written as CIF:
```
data_YMg2Au2
_chemical_formula_sum 'Y2 Mg4 Au4'
_cell_length_a 7.607
_cell_length_b 7.607
_cell_length_c 3.787
_cell_angle_alpha 90.00
_cell_angle_beta 90.00
_cell_angle_gamma 90.00
_symmetry_space_group_name_H-M 'P 4/m b m'
_symmetry_Int_Tables_number 127
_symmetry_space_group_name_Hall '-P 4 2ab'
loop_
_atom_site_label
_atom_site_fract_x
_atom_site_fract_y
_atom_site_fract_z
Y1 0.000 0.000 0.000
Mg1 0.159 0.341 0.500
Au1 0.135 0.635 0.000
```

Summary:
M_tot, Bohr magnetons per cell: 0.0
Energy above the most stable polymorph in this dataset, kJ/mol of atoms: 7.6
Final energy, eV/atom: -3.7895
Formation energy from the elements, meV per atom: -548